Record 1
This record from Alexandria via LeMat-Bulk describes VB4 after structural relaxation. The functional is PBE.

The value obtained for the density of states at the Fermi level is 3.8 states/eV per cell. The value obtained for the electronic total energy is -4.957 eV/atom. For the total magnetization, the calculation gives 0.00 μB per formula unit.

The structure belongs to space group Pm-3m (No. 221); the cell edges are 4.0037, 4.0037 and 4.0037 Å and the angles 90.00°, 90.00° and 90.00°. The inequivalent atoms are V at (0.0000, 0.0000, 0.0000), B at (0.0000, 0.0000, 0.5000) and B at (0.5000, 0.5000, 0.5000).



Record 2
This record from Alexandria via LeMat-Bulk describes V3B after structural relaxation. The functional is PBE.

The value obtained for the density of states at the Fermi level is 5.5 states/eV per cell. The value obtained for the electronic total energy is -8.780 eV/atom. For the total magnetization, the calculation gives 0.00 μB per formula unit.

The structure belongs to space group P2_1/m (No. 11); the cell edges are 4.4951, 2.9019 and 7.1913 Å and the angles 90.00°, 99.04° and 90.00°. The inequivalent atoms are V at (0.0837, 0.2500, 0.3392), V at (0.2345, 0.2500, 0.9391), V at (0.4134, 0.7500, 0.6593) and B at (0.2915, 0.7500, 0.1599).



Record 3
This record from Alexandria via LeMat-Bulk describes VB2 after structural relaxation. The functional is PBE.

The value obtained for the density of states at the Fermi level is 1.3 states/eV per cell. The value obtained for the electronic total energy is -8.231 eV/atom. For the total magnetization, the calculation gives 0.00 μB per formula unit.

The structure belongs to space group P6/mmm (No. 191); the cell edges are 2.9998, 2.9998 and 3.0190 Å and the angles 90.00°, 90.00° and 120.00°. The inequivalent atoms are V at (0.0000, 0.0000, 0.0000) and B at (0.3333, 0.6667, 0.5000).



Record 4
This record from Alexandria via LeMat-Bulk describes V3B after structural relaxation. The functional is PBE.

The value obtained for the density of states at the Fermi level is 1.5 states/eV per cell. The value obtained for the electronic total energy is -8.590 eV/atom. For the total magnetization, the calculation gives 0.00 μB per formula unit.

The structure belongs to space group P4/mmm (No. 123); the cell edges are 3.8091, 3.8091 and 3.1028 Å and the angles 90.00°, 90.00° and 90.00°. The inequivalent atoms are V at (0.0000, 0.0000, 0.0000), V at (0.0000, 0.5000, 0.5000) and B at (0.5000, 0.5000, 0.0000).



Record 5
This record from Alexandria via LeMat-Bulk describes VBW2 after structural relaxation. The functional is PBE.

The value obtained for the density of states at the Fermi level is 12.1 states/eV per cell. The value obtained for the electronic total energy is -10.134 eV/atom. For the total magnetization, the calculation gives 0.00 μB per formula unit.

The structure belongs to space group I-42d (No. 122); the cell edges are 7.2256, 7.2256 and 4.3802 Å and the angles 90.00°, 90.00° and 90.00°. The inequivalent atoms are V at (0.0000, 0.0000, 0.0000), B at (0.0000, 0.0000, 0.5000) and W at (0.1461, 0.2500, 0.6250).



Record 6
This record from Alexandria via LeMat-Bulk describes V2B2W after structural relaxation. The functional is PBE.

The value obtained for the density of states at the Fermi level is 4.8 states/eV per cell. The value obtained for the electronic total energy is -8.683 eV/atom. For the total magnetization, the calculation gives 0.00 μB per formula unit.

The structure belongs to space group I4/mmm (No. 139); the cell edges are 3.9354, 3.9354 and 7.4257 Å and the angles 90.00°, 90.00° and 90.00°. The inequivalent atoms are V at (0.0000, 0.0000, 0.1656), B at (0.0000, 0.5000, 0.2500) and W at (0.0000, 0.0000, 0.5000).